# 1
CaAc4PrSe8: optimized geometry, PBE.

Properties
* density of states at the Fermi level: 0.334 states/eV/atom
* formation energy (no corrections): -1.85 eV per atom

Unit cell a=9.093 b=9.093 c=8.964 alpha=59.53 beta=59.53 gamma=60.00
Element x y z (fractional)
Se: 0.768 0.240 0.752
Se: 0.245 0.245 0.265
Se: 0.764 0.764 0.251
Se: 0.240 0.240 0.752
Se: 0.240 0.768 0.752
Se: 0.220 0.764 0.251
Se: 0.764 0.220 0.251
Se: 0.758 0.758 0.725
Pr: 0.002 0.002 0.993
Ac: 0.623 0.623 0.132
Ac: 0.002 0.002 0.502
Ac: 0.494 0.002 0.502
Ac: 0.002 0.494 0.502
Ca: 0.376 0.376 0.871

# 2
Ca3Ac2PrSe6: optimized geometry, PBE.

Properties
* density of states at the Fermi level: 0.343 states/eV/atom
* formation energy (no corrections): -1.91 eV per atom

Unit cell a=4.283 b=8.673 c=9.695 alpha=104.14 beta=102.76 gamma=90.00
Element x y z (fractional)
Ac: 0.837 0.675 0.675
Ac: 0.163 0.325 0.325
Se: 0.664 0.592 0.328
Se: 0.006 0.747 0.012
Se: 0.994 0.253 0.988
Se: 0.331 0.932 0.662
Se: 0.336 0.408 0.672
Se: 0.669 0.068 0.338
Ca: 0.834 0.166 0.668
Ca: 0.500 0.500 0.000
Ca: 0.166 0.834 0.332
Pr: 0.500 0.000 0.000

# 3
CaAc3Pr2Se6: optimized geometry, PBE.

Properties
* density of states at the Fermi level: 0.497 states/eV/atom
* formation energy (no corrections): -1.87 eV per atom

Unit cell a=7.558 b=7.558 c=7.533 alpha=99.57 beta=99.57 gamma=120.06
Element x y z (fractional)
Pr: 0.333 0.667 0.000
Pr: 0.667 0.333 0.000
Ac: 0.169 0.831 0.500
Ac: 0.500 0.500 0.500
Ac: 0.831 0.169 0.500
Ca: 0.000 0.000 0.000
Se: 0.404 0.078 0.234
Se: 0.078 0.404 0.234
Se: 0.596 0.922 0.766
Se: 0.247 0.247 0.764
Se: 0.922 0.596 0.766
Se: 0.753 0.753 0.236

# 4
CaAc2PrSe4: optimized geometry, PBE.

Properties
* density of states at the Fermi level: 0.438 states/eV/atom
* formation energy (no corrections): -1.88 eV per atom

Unit cell a=4.331 b=7.540 c=7.574 alpha=70.85 beta=90.00 gamma=90.00
Element x y z (fractional)
Ac: 0.500 0.000 0.500
Ac: 0.000 0.000 0.000
Se: 0.000 0.732 0.761
Se: 0.000 0.268 0.239
Se: 0.500 0.734 0.249
Se: 0.500 0.266 0.751
Ca: 0.500 0.500 0.000
Pr: 0.000 0.500 0.500

# 5
CaAc5Pr2Sm: optimized geometry, PBE.

Properties
* density of states at the Fermi level: 1.512 states/eV/atom
* energy relative to the elements: 226 kJ/mol of formula units

Unit cell a=8.637 b=8.637 c=11.919 alpha=111.24 beta=111.24 gamma=90.00
Element x y z (fractional)
Ac: 0.362 0.862 0.273
Ac: 0.862 0.911 0.273
Ac: 0.411 0.362 0.273
Ac: 0.500 0.500 0.000
Ac: 0.138 0.089 0.727
Ac: 0.000 0.000 0.000
Ac: 0.638 0.138 0.727
Ac: 0.911 0.411 0.273
Ac: 0.589 0.638 0.727
Ac: 0.089 0.589 0.727
Pr: 0.621 0.121 0.000
Pr: 0.121 0.379 0.000
Pr: 0.379 0.879 0.000
Pr: 0.879 0.621 0.000
Sm: 0.250 0.250 0.500
Sm: 0.750 0.750 0.500
Ca: 0.250 0.750 0.500
Ca: 0.750 0.250 0.500

# 6
Ca2Ac2PrSm: optimized geometry, PBE.

Properties
* density of states at the Fermi level: 1.442 states/eV/atom
* energy relative to the elements: 26 kJ/mol of formula units

Unit cell a=5.413 b=7.742 c=11.598 alpha=90.00 beta=90.00 gamma=90.00
Element x y z (fractional)
Sm: 0.000 0.387 0.501
Sm: 0.000 0.887 0.499
Ca: 0.000 0.882 0.830
Ca: 0.500 0.628 0.003
Ca: 0.500 0.128 0.997
Ca: 0.000 0.382 0.170
Ac: 0.000 0.876 0.181
Ac: 0.500 0.129 0.343
Ac: 0.000 0.376 0.819
Ac: 0.500 0.629 0.657
Pr: 0.500 0.144 0.656
Pr: 0.500 0.644 0.344